Here is Ni2SCl after structural relaxation from the Alexandria database. Energies are from PBE-GGA. Values from VASP.

The structure in Quantum ESPRESSO input format:
```
&SYSTEM
  ibrav = 0, nat = 8, ntyp = 3
/
ATOMIC_SPECIES
Ni 58.69 Ni.upf
S 32.06 S.upf
Cl 35.45 Cl.upf
CELL_PARAMETERS angstrom
5.3459 0.0000 0.0000
0.0000 5.3459 0.0000
2.6729 2.6729 4.7900
ATOMIC_POSITIONS crystal
Ni 0.5872 0.1250 0.2500
Ni 0.1628 0.6250 0.2500
Ni 0.3750 0.4128 0.7500
Ni 0.8750 0.8372 0.7500
S 0.5000 0.5000 0.0000
S 0.2500 0.7500 0.5000
Cl 0.0000 0.0000 0.0000
Cl 0.7500 0.2500 0.5000
```

The calculation puts the density of states at the Fermi level at 0.823 states/eV per atom. The total energy is -4.6376 eV/atom. The uncorrected formation energy is -253.4 meV/atom. Its energy above the most stable polymorph in this dataset is 55.5 meV per atom.


Here is NiS3Cl after structural relaxation from the Alexandria database. Energies are from PBE-GGA. Values from VASP.

The structure in Quantum ESPRESSO input format:
```
&SYSTEM
  ibrav = 0, nat = 5, ntyp = 3
/
ATOMIC_SPECIES
Ni 58.69 Ni.upf
S 32.06 S.upf
Cl 35.45 Cl.upf
CELL_PARAMETERS angstrom
-0.7643 3.8675 2.3177
-0.8699 -2.4330 3.7732
4.4241 0.1897 1.1423
ATOMIC_POSITIONS crystal
Ni 0.5000 0.5000 0.5000
S 0.0000 0.5000 0.0000
S 0.0000 0.0000 0.5000
S 0.5000 0.0000 0.0000
Cl 0.0000 0.0000 0.0000
```

The calculation puts the density of states at the Fermi level at 2.195 states/eV per atom. The total energy is -2.5160 eV/atom. The uncorrected formation energy is 1486.1 meV/atom. Its energy above the most stable polymorph in this dataset is 1557.6 meV per atom.


Here is Ni3S3Cl after structural relaxation from the Alexandria database. Energies are from PBE-GGA. Values from VASP.

The structure in Quantum ESPRESSO input format:
```
&SYSTEM
  ibrav = 0, nat = 14, ntyp = 3
/
ATOMIC_SPECIES
Ni 58.69 Ni.upf
S 32.06 S.upf
Cl 35.45 Cl.upf
CELL_PARAMETERS angstrom
4.6337 0.0000 0.0000
0.0000 6.8724 -3.9678
0.0000 0.0000 7.9356
ATOMIC_POSITIONS crystal
Ni 0.7500 0.1750 0.3226
Ni 0.7500 0.1477 0.8250
Ni 0.7500 0.6774 0.8523
Ni 0.2500 0.8250 0.6774
Ni 0.2500 0.8523 0.1750
Ni 0.2500 0.3226 0.1477
S 0.7500 0.8542 0.1687
S 0.7500 0.3145 0.1458
S 0.7500 0.8313 0.6855
S 0.2500 0.1458 0.8313
S 0.2500 0.6855 0.8542
S 0.2500 0.1687 0.3145
Cl 0.7500 0.3333 0.6667
Cl 0.2500 0.6667 0.3333
```

The calculation puts the density of states at the Fermi level at 0.930 states/eV per atom. The total energy is -4.7173 eV/atom. The uncorrected formation energy is -206.8 meV/atom.


Here is Ni2SCl after structural relaxation from the Alexandria database. Energies are from PBE-GGA. Values from VASP.

The structure in Quantum ESPRESSO input format:
```
&SYSTEM
  ibrav = 0, nat = 4, ntyp = 3
/
ATOMIC_SPECIES
Ni 58.69 Ni.upf
S 32.06 S.upf
Cl 35.45 Cl.upf
CELL_PARAMETERS angstrom
0.0000 2.9931 2.9931
2.9931 0.0000 2.9931
2.9931 2.9931 0.0000
ATOMIC_POSITIONS crystal
Ni 0.2500 0.2500 0.2500
Ni 0.7500 0.7500 0.7500
S 0.0000 0.0000 0.0000
Cl 0.5000 0.5000 0.5000
```

The calculation puts the density of states at the Fermi level at 1.671 states/eV per atom. The total energy is -4.0346 eV/atom. The uncorrected formation energy is 349.6 meV/atom. Its energy above the most stable polymorph in this dataset is 658.6 meV per atom.


Here is NiS5Cl after structural relaxation from the Alexandria database. Energies are from PBE-GGA. Values from VASP.

The structure in Quantum ESPRESSO input format:
```
&SYSTEM
  ibrav = 0, nat = 7, ntyp = 3
/
ATOMIC_SPECIES
Ni 58.69 Ni.upf
S 32.06 S.upf
Cl 35.45 Cl.upf
CELL_PARAMETERS angstrom
4.4981 0.4143 -2.2545
-0.5212 3.5019 -2.3928
1.8004 2.0427 10.3411
ATOMIC_POSITIONS crystal
Ni 0.7580 0.4001 0.6197
S 0.9586 0.8309 0.1350
S 0.2238 0.3818 0.0856
S 0.2229 0.2038 0.2378
S 0.4538 0.6207 0.7528
S 0.1865 0.2925 0.6981
Cl 0.7272 0.8008 0.5322
```

The calculation puts the density of states at the Fermi level at 0.281 states/eV per atom. The total energy is -4.0851 eV/atom. The uncorrected formation energy is -47.2 meV/atom.


Here is NiS2Cl after structural relaxation from the Alexandria database. Energies are from PBE-GGA. Values from VASP.

The structure in Quantum ESPRESSO input format:
```
&SYSTEM
  ibrav = 0, nat = 4, ntyp = 3
/
ATOMIC_SPECIES
Ni 58.69 Ni.upf
S 32.06 S.upf
Cl 35.45 Cl.upf
CELL_PARAMETERS angstrom
-1.5311 -2.2739 -2.0838
-1.2292 -2.9514 1.2788
-6.6807 1.1323 0.8280
ATOMIC_POSITIONS crystal
Ni 0.0000 0.0000 0.0000
S 0.7224 0.7224 0.8327
S 0.2776 0.2776 0.1673
Cl 0.5000 0.5000 0.5000
```

The calculation puts the density of states at the Fermi level at 0.571 states/eV per atom. The total energy is -4.0556 eV/atom. The uncorrected formation energy is -84.9 meV/atom. Its energy above the most stable polymorph in this dataset is 84.5 meV per atom.


Here is NiS2Cl after structural relaxation from the Alexandria database. Energies are from PBE-GGA. Values from VASP.

The structure in Quantum ESPRESSO input format:
```
&SYSTEM
  ibrav = 0, nat = 8, ntyp = 3
/
ATOMIC_SPECIES
Ni 58.69 Ni.upf
S 32.06 S.upf
Cl 35.45 Cl.upf
CELL_PARAMETERS angstrom
-1.9165 3.1476 4.8067
-5.6492 -1.9566 -0.9712
-3.0027 -2.9705 4.5639
ATOMIC_POSITIONS crystal
Ni 0.0000 0.0000 0.0000
Ni 0.7500 0.2500 0.5000
S 0.7163 0.1250 0.2500
S 0.0337 0.6250 0.2500
S 0.3750 0.2837 0.7500
S 0.8750 0.9663 0.7500
Cl 0.5000 0.5000 0.0000
Cl 0.2500 0.7500 0.5000
```

The calculation puts the density of states at the Fermi level at 1.216 states/eV per atom. The total energy is -3.8071 eV/atom. The uncorrected formation energy is 163.6 meV/atom. Its energy above the most stable polymorph in this dataset is 333.0 meV per atom.


Here is NiSbSCl2 after structural relaxation from the Alexandria database. Energies are from PBE-GGA. Values from VASP.

The structure in Quantum ESPRESSO input format:
```
&SYSTEM
  ibrav = 0, nat = 5, ntyp = 4
/
ATOMIC_SPECIES
Sb 121.76 Sb.upf
S 32.06 S.upf
Cl 35.45 Cl.upf
Ni 58.69 Ni.upf
CELL_PARAMETERS angstrom
-3.9901 -2.1019 -0.1521
0.5601 -1.3717 4.2623
-2.1370 3.9446 1.5502
ATOMIC_POSITIONS crystal
Sb 0.5000 0.5000 0.5000
S 0.0000 0.0000 0.5000
Cl 0.0000 0.5000 0.0000
Cl 0.5000 0.0000 0.0000
Ni 0.0000 0.0000 0.0000
```

The calculation puts the density of states at the Fermi level at 0.509 states/eV per atom. The total energy is -3.6103 eV/atom. The uncorrected formation energy is -65.4 meV/atom. Its energy above the most stable polymorph in this dataset is 0.0 meV per atom.


Here is Ni2SbSCl after structural relaxation from the Alexandria database. Energies are from PBE-GGA. Values from VASP.

The structure in Quantum ESPRESSO input format:
```
&SYSTEM
  ibrav = 0, nat = 5, ntyp = 4
/
ATOMIC_SPECIES
Sb 121.76 Sb.upf
S 32.06 S.upf
Cl 35.45 Cl.upf
Ni 58.69 Ni.upf
CELL_PARAMETERS angstrom
-2.2530 -3.3646 -0.1093
1.6749 -1.3223 6.1817
-3.2025 2.1017 1.3173
ATOMIC_POSITIONS crystal
Sb 0.5000 0.5000 0.5000
S 0.0000 0.5000 0.0000
Cl 0.0000 0.0000 0.0000
Ni 0.0000 0.0000 0.5000
Ni 0.5000 0.0000 0.0000
```

The calculation puts the density of states at the Fermi level at 1.355 states/eV per atom. The total energy is -3.7854 eV/atom. The uncorrected formation energy is 546.4 meV/atom.


Here is NiSbSCl2 after structural relaxation from the Alexandria database. Energies are from PBE-GGA. Values from VASP.

The structure in Quantum ESPRESSO input format:
```
&SYSTEM
  ibrav = 0, nat = 5, ntyp = 4
/
ATOMIC_SPECIES
Sb 121.76 Sb.upf
S 32.06 S.upf
Cl 35.45 Cl.upf
Ni 58.69 Ni.upf
CELL_PARAMETERS angstrom
5.2226 0.0000 0.0000
0.0000 5.2226 0.0000
0.0000 0.0000 5.2031
ATOMIC_POSITIONS crystal
Sb 0.0000 0.0000 0.0000
S 0.0000 0.0000 0.5000
Cl 0.0000 0.5000 0.0000
Cl 0.5000 0.0000 0.0000
Ni 0.5000 0.5000 0.5000
```

The calculation puts the density of states at the Fermi level at 1.406 states/eV per atom. The total energy is -3.1321 eV/atom. The uncorrected formation energy is 412.8 meV/atom. Its energy above the most stable polymorph in this dataset is 478.2 meV per atom.


Here is ScNiSCl2 after structural relaxation from the Alexandria database. Energies are from PBE-GGA. Values from VASP.

The structure in Quantum ESPRESSO input format:
```
&SYSTEM
  ibrav = 0, nat = 5, ntyp = 4
/
ATOMIC_SPECIES
Sc 44.96 Sc.upf
Ni 58.69 Ni.upf
S 32.06 S.upf
Cl 35.45 Cl.upf
CELL_PARAMETERS angstrom
4.4626 0.0000 0.0000
0.0000 4.4626 0.0000
0.0000 0.0000 4.7444
ATOMIC_POSITIONS crystal
Sc 0.5000 0.5000 0.5000
Ni 0.0000 0.0000 0.0000
S 0.0000 0.0000 0.5000
Cl 0.0000 0.5000 0.0000
Cl 0.5000 0.0000 0.0000
```

The calculation puts the density of states at the Fermi level at 0.837 states/eV per atom. The total energy is -4.5520 eV/atom. The uncorrected formation energy is -565.3 meV/atom. Its energy above the most stable polymorph in this dataset is 26.1 meV per atom.


Here is ScNiS2Cl after structural relaxation from the Alexandria database. Energies are from PBE-GGA. Values from VASP.

The structure in Quantum ESPRESSO input format:
```
&SYSTEM
  ibrav = 0, nat = 5, ntyp = 4
/
ATOMIC_SPECIES
Sc 44.96 Sc.upf
Ni 58.69 Ni.upf
S 32.06 S.upf
Cl 35.45 Cl.upf
CELL_PARAMETERS angstrom
-2.2171 -3.8896 0.7670
3.7455 -2.3431 -1.0556
1.2519 0.1129 4.1914
ATOMIC_POSITIONS crystal
Sc 0.5000 0.5000 0.5000
Ni 0.0000 0.0000 0.0000
S 0.0000 0.5000 0.0000
S 0.5000 0.0000 0.0000
Cl 0.0000 0.0000 0.5000
```

The calculation puts the density of states at the Fermi level at 0.422 states/eV per atom. The total energy is -4.9708 eV/atom. The uncorrected formation energy is -528.0 meV/atom. Its energy above the most stable polymorph in this dataset is 0.0 meV per atom.


It is found that the mass density values, taken in the order of the records, are 4.49; 3.30; 4.04; 5.73; 2.09; 3.92; 3.18; 4.87; 4.75; 3.32; 3.63; 3.74 g/cm3.